Here is Nb3CoRh after structural relaxation from the Alexandria database. Energies are from PBE.

Results
As for the crystal system: cubic. The symmetry is Pm-3m, No. 221. Its polymorph energy (0 for the lowest one) is 727 meV/atom. The calculation puts the formation energy at 7.05 eV per formula unit. For the spin magnetization, the calculation gives 0.00 μB per cell.

Cell: 4.764 4.764 4.764 Å, 90.00 90.00 90.00°
Atoms (fractional coordinates):
1 Co 0.500 0.500 0.500
2 Nb 0.000 0.500 0.000
3 Nb 0.000 0.000 0.500
4 Nb 0.500 0.000 0.000
5 Rh 0.000 0.000 0.000

Here is NbCoRh after structural relaxation from the Alexandria database. Energies are from PBE.

Results
As for the crystal system: tetragonal. The symmetry is I4mm, No. 107. The calculation puts the formation energy at -0.49 eV per formula unit. For the spin magnetization, the calculation gives 0.84 μB per cell.

Cell: 3.194 3.194 4.843 Å, 109.25 109.25 90.00°
Site moments in Bohr magnetons follow the coordinates.
Atoms (fractional coordinates):
1 Rh 0.615 0.615 0.230  0.00
2 Nb 0.941 0.941 0.882  -0.16
3 Co 0.294 0.294 0.588  1.01

Here is NbCo2Rh2 after structural relaxation from the Alexandria database. Energies are from PBE.

Results
As for the crystal system: tetragonal. The symmetry is P4/mbm, No. 127. Its polymorph energy (0 for the lowest one) is 0 meV/atom. The calculation puts the formation energy at -0.23 eV per formula unit. For the spin magnetization, the calculation gives 6.84 μB per cell.

Cell: 7.055 7.055 2.775 Å, 90.00 90.00 90.00°
Site moments in Bohr magnetons follow the coordinates.
Atoms (fractional coordinates):
1 Co 0.378 0.878 0.000  1.51
2 Co 0.878 0.622 0.000  1.50
3 Co 0.622 0.122 0.000  1.51
4 Co 0.122 0.378 0.000  1.50
5 Nb 0.000 0.000 0.000  -0.34
6 Nb 0.500 0.500 0.000  -0.34
7 Rh 0.174 0.674 0.500  0.42
8 Rh 0.674 0.826 0.500  0.42
9 Rh 0.826 0.326 0.500  0.42
10 Rh 0.326 0.174 0.500  0.42

Here is Nb2CoRh after structural relaxation from the Alexandria database. Energies are from PBE.

Results
As for the crystal system: tetragonal. The symmetry is P4/mmm, No. 123. Its polymorph energy (0 for the lowest one) is 14 meV/atom. The calculation puts the formation energy at -0.89 eV per formula unit. For the spin magnetization, the calculation gives 0.00 μB per cell.

Cell: 3.792 4.002 4.002 Å, 90.00 90.00 90.00°
Atoms (fractional coordinates):
1 Co 0.500 0.500 0.500
2 Nb 0.000 0.000 0.500
3 Nb 0.000 0.500 0.000
4 Rh 0.500 0.000 0.000